Here is crystalline CoIrSe at its relaxed geometry from Alexandria. Energies are from PBE.

Cell: 2.9251 2.9251 10.0135 Å, 90.00 90.00 90.00°
Space group I4mm (No. 107)
Unique sites:
1 Co 0.0000 0.0000 0.0000
2 Ir 0.0000 0.0000 0.3350
3 Se 0.0000 0.0000 0.6587

Output
The calculation puts the total DFT energy (no corrections) at -6.09 eV/atom. The calculation puts the total magnetization at 1.6 μB/f.u. The calculation puts the uncorrected formation energy at 0.39 eV per atom. As for the density of states at the Fermi level: 8.2 states/eV/cell. As for the polymorph energy (0 for the lowest one): 0.447 eV/f.u.